# 1
Crystalline MgCu3Se3 at its relaxed geometry. Source: Alexandria, functional PBE-GGA.

The space group is P2_1/m (No. 11) and the conventional cell measures 8.522, 3.822 and 10.057 Å, with angles of 90.00, 111.10 and 90.00 degrees. Symmetry generates all atoms from Mg at (0.045, 0.250, 0.386), Cu at (0.220, 0.750, 0.917), Cu at (0.277, 0.250, 0.744), Cu at (0.429, 0.250, 0.032), Se at (0.038, 0.250, 0.830), Se at (0.234, 0.750, 0.559) and Se at (0.417, 0.750, 0.168).

***

# 2
Crystalline MgCu2Se at its relaxed geometry. Source: Alexandria, functional PBE-GGA.

The space group is Pmmn (No. 59, origin choice 2) and the conventional cell measures 3.724, 5.193 and 6.942 Å, with angles of 90.00, 90.00 and 90.00 degrees. Symmetry generates all atoms from Mg at (0.250, 0.250, 0.152), Cu at (0.250, 0.000, 0.617) and Se at (0.250, 0.750, 0.151).

The energy relative to the lowest polymorph listed for this composition comes out at 0.052 eV per atom.

***

Number 1: ΔE_f (raw) -365 meV/atom, uncorrected energy -3.842 eV/atom. Number 2: ΔE_f (raw) -149 meV/atom, uncorrected energy -3.467 eV/atom.